Density functional theory data (PBE-GGA) for a geometry-optimized SrSmY structure.

## Properties
Calculated formation energy ... 0.26 eV per atom
Density of states at the Fermi level ... 10.999 states/eV per cell
Excess energy over the best structure of this formula in the dataset ... 148.4 meV per atom

Cell lengths 6.2011, 6.2011, 12.3687 Å; angles 64.72, 64.72, 33.66 degrees
Positions (direct):
Sm 0.6120 0.6120 0.4306
Sm 0.1412 0.1412 0.8768
Sr 0.9587 0.9587 0.2537
Sr 0.7944 0.7944 0.0536
Y 0.4819 0.4819 0.7357
Y 0.2713 0.2713 0.5717

=====

Density functional theory data (PBE-GGA) for a geometry-optimized KLiTlSn structure.

## Properties
Calculated formation energy ... -0.10 eV per atom
Density of states at the Fermi level ... 3.389 states/eV per cell

Cell lengths 5.4448, 5.4448, 5.4448 Å; angles 60.00, 60.00, 60.00 degrees
Positions (direct):
Li 0.5000 0.5000 0.5000
K 0.7500 0.7500 0.7500
Tl 0.0000 0.0000 0.0000
Sn 0.2500 0.2500 0.2500

=====

Density functional theory data (PBE-GGA) for a geometry-optimized Pm5Dy2Ho structure.

## Properties
Calculated formation energy ... 0.28 eV per atom
Density of states at the Fermi level ... 22.995 states/eV per cell
Excess energy over the best structure of this formula in the dataset ... 264.8 meV per atom

Cell lengths 14.6496, 14.6496, 8.8738 Å; angles 62.70, 62.70, 121.76 degrees
Positions (direct):
Dy 0.5000 0.5000 0.5000
Dy 0.0000 0.5000 0.5000
Dy 0.5000 0.5000 0.0000
Dy 0.5000 0.0000 0.0000
Pm 0.4750 0.1724 0.6696
Pm 0.3726 0.6274 0.2500
Pm 0.5250 0.8276 0.3304
Pm 0.0063 0.8752 0.6250
Pm 0.1248 0.9937 0.8750
Pm 0.8752 0.0063 0.1250
Pm 0.9937 0.1248 0.3750
Pm 0.1724 0.4750 0.1696
Pm 0.8276 0.5250 0.8304
Pm 0.6274 0.3726 0.7500
Ho 0.7965 0.2035 0.2500
Ho 0.2035 0.7965 0.7500

=====

Density functional theory data (PBE-GGA) for a geometry-optimized NaUHgI6 structure.

## Properties
Raw formation energy ... -0.78 eV per atom

Cell lengths 7.8791, 7.8791, 18.1676 Å; angles 90.00, 90.00, 120.00 degrees
Last column: magnetic moment on the atom in μB.
Positions (direct):
Na 0.3333 0.6667 0.2500  0.00
Na 0.6667 0.3333 0.7500  0.00
I 0.9699 0.6351 0.3449  -0.05
I 0.9699 0.3348 0.1551  -0.05
I 0.6652 0.0301 0.3449  -0.05
I 0.0301 0.6652 0.8449  -0.05
I 0.3348 0.3649 0.8449  -0.05
I 0.6351 0.6652 0.6551  -0.05
I 0.6351 0.9699 0.8449  -0.05
I 0.6652 0.6351 0.1551  -0.05
I 0.3649 0.0301 0.1551  -0.05
I 0.3649 0.3348 0.3449  -0.05
I 0.3348 0.9699 0.6551  -0.05
I 0.0301 0.3649 0.6551  -0.05
U 0.3333 0.6667 0.7500  1.37
U 0.6667 0.3333 0.2500  1.37
Hg 0.0000 0.0000 0.5000  -0.01
Hg 0.0000 0.0000 0.0000  -0.01

=====

Density functional theory data (PBE-GGA) for a geometry-optimized PmNdAl3 structure.

## Properties
Calculated formation energy ... -0.43 eV per atom
Density of states at the Fermi level ... 6.755 states/eV per cell

Cell lengths 4.5856, 3.7462, 14.2061 Å; angles 97.58, 90.00, 90.00 degrees
Last column: magnetic moment on the atom in μB.
Positions (direct):
Al 0.2500 0.6694 0.3388  0.00
Al 0.2500 0.3817 0.7635  0.00
Al 0.2500 0.4763 0.9526  0.00
Al 0.7500 0.5237 0.0474  0.00
Al 0.7500 0.6183 0.2365  0.00
Al 0.7500 0.3306 0.6612  0.00
Nd 0.7500 0.9287 0.8574  0.01
Nd 0.2500 0.0713 0.1426  0.01
Pm 0.7500 0.2096 0.4192  0.13
Pm 0.2500 0.7904 0.5808  0.13

=====

Density functional theory data (PBE-GGA) for a geometry-optimized YMn2P structure.

## Properties
Calculated formation energy ... -0.04 eV per atom
Density of states at the Fermi level ... 2.843 states/eV per cell

Cell lengths 3.2008, 3.2008, 6.0233 Å; angles 90.00, 90.00, 90.00 degrees
Last column: magnetic moment on the atom in μB.
Positions (direct):
Mn 0.0000 0.0000 0.0638  1.87
Mn 0.0000 0.0000 0.4362  1.87
Y 0.5000 0.5000 0.7500  -0.20
P 0.5000 0.5000 0.2500  -0.08

=====

Number 1: volume 235.9 Å³ per cell. Number 2: volume 114.1 Å³ per cell. Number 3: volume 541.8 Å³ per cell. Number 4: volume 976.7 Å³ per cell. Number 5: volume 241.9 Å³ per cell. Number 6: volume 61.7 Å³ per cell.